[1]
# PBE TlCdGaGe, relaxed
# energy relative to the elements = 0.17 eV/atom
# DOS(E_F) = 0.18 states/eV per atom
data_TlCdGaGe
_symmetry_space_group_name_H-M 'F -4 3 m'
_symmetry_Int_Tables_number 216
_symmetry_space_group_name_Hall 'F -4 2 3'
_cell_length_a 7.199
_cell_length_b 7.199
_cell_length_c 7.199
_cell_angle_alpha 90.00
_cell_angle_beta 90.00
_cell_angle_gamma 90.00
loop_
_atom_site_label
_atom_site_type_symbol
_atom_site_fract_x
_atom_site_fract_y
_atom_site_fract_z
Tl1 Tl 0.000 0.000 0.000
Cd1 Cd 0.250 0.250 0.250
Ga1 Ga 0.250 0.250 0.750
Ge1 Ge 0.000 0.000 0.500

[2]
# PBE TlCdGa2Ge, relaxed
# energy relative to the elements = 0.62 eV/atom
# DOS(E_F) = 0.59 states/eV per atom
data_TlCdGa2Ge
_symmetry_space_group_name_H-M 'P 4/m m m'
_symmetry_Int_Tables_number 123
_symmetry_space_group_name_Hall '-P 4 2'
_cell_length_a 5.105
_cell_length_b 5.105
_cell_length_c 5.637
_cell_angle_alpha 90.00
_cell_angle_beta 90.00
_cell_angle_gamma 90.00
loop_
_atom_site_label
_atom_site_type_symbol
_atom_site_fract_x
_atom_site_fract_y
_atom_site_fract_z
Tl1 Tl 0.000 0.000 0.000
Cd1 Cd 0.000 0.000 0.500
Ga1 Ga 0.000 0.500 0.500
Ge1 Ge 0.500 0.500 0.000

[3]
# PBE V2CdGaGe, relaxed
# energy relative to the elements = 1.40 eV/atom
# DOS(E_F) = 1.77 states/eV per atom
data_V2CdGaGe
_symmetry_space_group_name_H-M 'P 4/m m m'
_symmetry_Int_Tables_number 123
_symmetry_space_group_name_Hall '-P 4 2'
_cell_length_a 5.083
_cell_length_b 5.083
_cell_length_c 4.725
_cell_angle_alpha 90.00
_cell_angle_beta 90.00
_cell_angle_gamma 90.00
loop_
_atom_site_label
_atom_site_type_symbol
_atom_site_fract_x
_atom_site_fract_y
_atom_site_fract_z
V1 V 0.000 0.500 0.000
Cd1 Cd 0.000 0.000 0.000
Ga1 Ga 0.000 0.000 0.500
Ge1 Ge 0.500 0.500 0.500

[4]
# PBE CdGaH2, relaxed
# DOS(E_F) = 0.20 states/eV per atom
# energy above the lowest structure with this stoichiometry = 0.192 eV/atom
data_CdGaH2
_symmetry_space_group_name_H-M 'F m -3 m'
_symmetry_Int_Tables_number 225
_symmetry_space_group_name_Hall '-F 4 2 3'
_cell_length_a 5.930
_cell_length_b 5.930
_cell_length_c 5.930
_cell_angle_alpha 90.00
_cell_angle_beta 90.00
_cell_angle_gamma 90.00
loop_
_atom_site_label
_atom_site_type_symbol
_atom_site_fract_x
_atom_site_fract_y
_atom_site_fract_z
Cd1 Cd 0.000 0.000 0.000
Ga1 Ga 0.000 0.000 0.500
H1 H 0.250 0.250 0.250

[5]
# PBE CdGa2H, relaxed
# DOS(E_F) = 0.51 states/eV per atom
# energy above the lowest structure with this stoichiometry = 0.185 eV/atom
data_CdGa2H
_symmetry_space_group_name_H-M 'F m -3 m'
_symmetry_Int_Tables_number 225
_symmetry_space_group_name_Hall '-F 4 2 3'
_cell_length_a 6.522
_cell_length_b 6.522
_cell_length_c 6.522
_cell_angle_alpha 90.00
_cell_angle_beta 90.00
_cell_angle_gamma 90.00
loop_
_atom_site_label
_atom_site_type_symbol
_atom_site_fract_x
_atom_site_fract_y
_atom_site_fract_z
Cd1 Cd 0.000 0.000 0.000
Ga1 Ga 0.250 0.250 0.250
H1 H 0.000 0.000 0.500

[6]
# PBE CdGa2H, relaxed
# DOS(E_F) = 0.20 states/eV per atom
# energy above the lowest structure with this stoichiometry = 0.000 eV/atom
data_CdGa2H
_symmetry_space_group_name_H-M 'I -4 2 d'
_symmetry_Int_Tables_number 122
_symmetry_space_group_name_Hall 'I -4 2bw'
_cell_length_a 4.914
_cell_length_b 4.914
_cell_length_c 12.118
_cell_angle_alpha 90.00
_cell_angle_beta 90.00
_cell_angle_gamma 90.00
loop_
_atom_site_label
_atom_site_type_symbol
_atom_site_fract_x
_atom_site_fract_y
_atom_site_fract_z
Cd1 Cd 0.000 0.000 0.000
Ga1 Ga 0.097 0.250 0.625
H1 H 0.000 0.000 0.500

[7]
# PBE CdGaH3, relaxed
# DOS(E_F) = 0.08 states/eV per atom
# energy above the lowest structure with this stoichiometry = 0.008 eV/atom
data_CdGaH3
_symmetry_space_group_name_H-M 'P m -3 m'
_symmetry_Int_Tables_number 221
_symmetry_space_group_name_Hall '-P 4 2 3'
_cell_length_a 4.011
_cell_length_b 4.011
_cell_length_c 4.011
_cell_angle_alpha 90.00
_cell_angle_beta 90.00
_cell_angle_gamma 90.00
loop_
_atom_site_label
_atom_site_type_symbol
_atom_site_fract_x
_atom_site_fract_y
_atom_site_fract_z
Cd1 Cd 0.000 0.000 0.000
Ga1 Ga 0.500 0.500 0.500
H1 H 0.000 0.000 0.500

[8]
# PBE CdGa3H, relaxed
# DOS(E_F) = 0.58 states/eV per atom
# energy above the lowest structure with this stoichiometry = 0.637 eV/atom
data_CdGa3H
_symmetry_space_group_name_H-M 'P m -3 m'
_symmetry_Int_Tables_number 221
_symmetry_space_group_name_Hall '-P 4 2 3'
_cell_length_a 5.221
_cell_length_b 5.221
_cell_length_c 5.221
_cell_angle_alpha 90.00
_cell_angle_beta 90.00
_cell_angle_gamma 90.00
loop_
_atom_site_label
_atom_site_type_symbol
_atom_site_fract_x
_atom_site_fract_y
_atom_site_fract_z
Cd1 Cd 0.000 0.000 0.000
Ga1 Ga 0.000 0.000 0.500
H1 H 0.500 0.500 0.500

[9]
# PBE CdGaH, relaxed
# DOS(E_F) = 0.32 states/eV per atom
# energy above the lowest structure with this stoichiometry = 0.195 eV/atom
data_CdGaH
_symmetry_space_group_name_H-M 'I 4 m m'
_symmetry_Int_Tables_number 107
_symmetry_space_group_name_Hall 'I 4 -2'
_cell_length_a 2.999
_cell_length_b 2.999
_cell_length_c 10.885
_cell_angle_alpha 90.00
_cell_angle_beta 90.00
_cell_angle_gamma 90.00
loop_
_atom_site_label
_atom_site_type_symbol
_atom_site_fract_x
_atom_site_fract_y
_atom_site_fract_z
Cd1 Cd 0.000 0.000 0.000
Ga1 Ga 0.000 0.000 0.740
H1 H 0.000 0.000 0.229

[10]
# PBE CdGa3H, relaxed
# DOS(E_F) = 0.40 states/eV per atom
# energy above the lowest structure with this stoichiometry = 0.000 eV/atom
data_CdGa3H
_symmetry_space_group_name_H-M 'P m -3 m'
_symmetry_Int_Tables_number 221
_symmetry_space_group_name_Hall '-P 4 2 3'
_cell_length_a 4.379
_cell_length_b 4.379
_cell_length_c 4.379
_cell_angle_alpha 90.00
_cell_angle_beta 90.00
_cell_angle_gamma 90.00
loop_
_atom_site_label
_atom_site_type_symbol
_atom_site_fract_x
_atom_site_fract_y
_atom_site_fract_z
Cd1 Cd 0.000 0.000 0.000
Ga1 Ga 0.000 0.500 0.500
H1 H 0.500 0.500 0.500

[11]
# PBE Cd2Ga2H, relaxed
# DOS(E_F) = 0.31 states/eV per atom
# energy above the lowest structure with this stoichiometry = 0.000 eV/atom
data_Cd2Ga2H
_symmetry_space_group_name_H-M 'P 4/m b m'
_symmetry_Int_Tables_number 127
_symmetry_space_group_name_Hall '-P 4 2ab'
_cell_length_a 5.744
_cell_length_b 5.744
_cell_length_c 5.492
_cell_angle_alpha 90.00
_cell_angle_beta 90.00
_cell_angle_gamma 90.00
loop_
_atom_site_label
_atom_site_type_symbol
_atom_site_fract_x
_atom_site_fract_y
_atom_site_fract_z
Cd1 Cd 0.184 0.316 0.000
Ga1 Ga 0.170 0.670 0.500
H1 H 0.000 0.000 0.500

[12]
# PBE CdGaH2, relaxed
# DOS(E_F) = 0.20 states/eV per atom
# energy above the lowest structure with this stoichiometry = 0.000 eV/atom
data_CdGaH2
_symmetry_space_group_name_H-M 'I -4 2 d'
_symmetry_Int_Tables_number 122
_symmetry_space_group_name_Hall 'I -4 2bw'
_cell_length_a 5.005
_cell_length_b 5.005
_cell_length_c 9.811
_cell_angle_alpha 90.00
_cell_angle_beta 90.00
_cell_angle_gamma 90.00
loop_
_atom_site_label
_atom_site_type_symbol
_atom_site_fract_x
_atom_site_fract_y
_atom_site_fract_z
Cd1 Cd 0.000 0.000 0.000
Ga1 Ga 0.000 0.000 0.500
H1 H 0.164 0.250 0.125

[13]
# PBE CdGa2H8, relaxed
# uncorrected energy = -2.918 eV per atom
# DOS(E_F) = 0.00 states/eV per atom
data_CdGa2H8
_symmetry_space_group_name_H-M 'C 1 2/c 1'
_symmetry_Int_Tables_number 15
_symmetry_space_group_name_Hall '-C 2yc'
_cell_length_a 12.996
_cell_length_b 6.842
_cell_length_c 8.614
_cell_angle_alpha 90.00
_cell_angle_beta 131.00
_cell_angle_gamma 90.00
loop_
_atom_site_label
_atom_site_type_symbol
_atom_site_fract_x
_atom_site_fract_y
_atom_site_fract_z
Cd1 Cd 0.000 0.084 0.250
Ga1 Ga 0.092 0.291 0.653
H1 H 0.059 0.348 0.966
H2 H 0.114 0.243 0.483
H3 H 0.121 0.060 0.746
H4 H 0.220 0.409 0.828